Record 1
Below is Sc4Cd3 at its PBEsol-relaxed geometry, with properties calculated at the SCAN level.

Values from the calculation:
E_form	-253	meV/atom
symmetry	No. 139
raw total energy	-21.42	eV per atom
M_tot	2.1	μB per formula unit

Structure (POSCAR):
```
Sc4Cd3
1.0
-1.5960 1.5960 14.9093
1.5960 -1.5960 14.9093
1.5960 1.5960 -14.9093
Sc Cd
4 3
direct
0.0695 0.0695 0.0000
0.3532 0.3532 0.0000
0.6468 0.6468 0.0000
0.9305 0.9305 0.0000
0.2168 0.2168 0.0000
0.5000 0.5000 0.0000
0.7832 0.7832 0.0000
```



Record 2
Below is Sc2Pt3 at its PBEsol-relaxed geometry, with properties calculated at the SCAN level.

Values from the calculation:
E_form	-898	meV/atom
symmetry	No. 166
raw total energy	-48.71	eV per atom
M_tot	0.0	μB per formula unit

Structure (POSCAR):
```
Sc2Pt3
1.0
1.8065 1.0430 8.3667
-1.8065 1.0430 8.3667
0.0000 -2.0860 8.3667
Sc Pt
2 3
direct
0.0960 0.0960 0.0960
0.9040 0.9040 0.9040
0.3000 0.3000 0.3000
0.5000 0.5000 0.5000
0.7000 0.7000 0.7000
```



Record 3
Below is Ba2TcBr at its PBEsol-relaxed geometry, with properties calculated at the SCAN level.

Values from the calculation:
symmetry	No. 123
raw total energy	-33.60	eV per atom
M_tot	2.2	μB per formula unit
uncorrected formation energy	-193	meV/atom

Structure (POSCAR):
```
Ba2TcBr
1.0
4.5982 0.0000 0.0000
0.0000 4.5982 0.0000
0.0000 0.0000 6.3169
Ba Tc Br
2 1 1
direct
0.0000 0.0000 0.0000
0.5000 0.5000 0.5000
0.0000 0.0000 0.5000
0.5000 0.5000 0.0000
```



Record 4
Below is Ba2CuMo at its PBEsol-relaxed geometry, with properties calculated at the SCAN level.

Values from the calculation:
E_form	720	meV/atom
symmetry	No. 99
raw total energy	-31.58	eV per atom
M_tot	1.3	μB per formula unit

Structure (POSCAR):
```
Ba2CuMo
1.0
3.5012 0.0000 0.0000
0.0000 3.5012 0.0000
0.0000 0.0000 9.1744
Ba Cu Mo
2 1 1
direct
0.0000 0.0000 0.0000
0.5000 0.5000 0.4142
0.0000 0.0000 0.6546
0.5000 0.5000 0.7385
```



Record 5
Below is MgMo2RuC at its PBEsol-relaxed geometry, with properties calculated at the SCAN level.

Values from the calculation:
E_form	2365	meV/atom
symmetry	No. 123
raw total energy	-21.57	eV per atom
M_tot	2.1	μB per formula unit

Structure (POSCAR):
```
MgMo2RuC
1.0
4.5579 0.0000 0.0000
0.0000 4.5579 0.0000
0.0000 0.0000 4.7984
Mg Mo Ru C
1 2 1 1
direct
0.0000 0.0000 0.0000
0.0000 0.5000 0.5000
0.5000 0.0000 0.5000
0.0000 0.0000 0.5000
0.5000 0.5000 0.0000
```



Record 6
Below is LiMgPb2 at its PBEsol-relaxed geometry, with properties calculated at the SCAN level.

Values from the calculation:
E_form	-298	meV/atom
symmetry	No. 123
raw total energy	-40.03	eV per atom
M_tot	0.0	μB per formula unit

Structure (POSCAR):
```
LiMgPb2
1.0
3.6075 0.0000 0.0000
0.0000 3.6075 0.0000
0.0000 0.0000 7.2179
Li Mg Pb
1 1 2
direct
0.0000 0.0000 0.0000
0.0000 0.0000 0.5000
0.5000 0.5000 0.2411
0.5000 0.5000 0.7589
```



Record 7
Below is CdFeIr2 at its PBEsol-relaxed geometry, with properties calculated at the SCAN level.

Values from the calculation:
E_form	211	meV/atom
symmetry	No. 12
raw total energy	-47.47	eV per atom
M_tot	3.8	μB per formula unit

Structure (POSCAR):
```
CdFeIr2
1.0
2.7217 -4.5308 0.0000
2.7217 4.5308 0.0000
-1.2794 0.0000 2.3917
Cd Fe Ir
1 1 2
direct
0.0000 0.0000 0.0000
0.5000 0.5000 0.0000
0.0000 0.5000 0.5000
0.5000 0.0000 0.5000
```



Record 8
Below is SrPAu2 at its PBEsol-relaxed geometry, with properties calculated at the SCAN level.

Values from the calculation:
E_form	-660	meV/atom
symmetry	No. 47
raw total energy	-43.41	eV per atom
M_tot	0.0	μB per formula unit

Structure (POSCAR):
```
SrPAu2
1.0
4.2037 0.0000 0.0000
0.0000 4.2671 0.0000
0.0000 0.0000 5.2285
Sr P Au
1 1 2
direct
0.0000 0.0000 0.0000
0.5000 0.0000 0.5000
0.5000 0.5000 0.2491
0.5000 0.5000 0.7509
```



Record 9
Below is NaCaRu3 at its PBEsol-relaxed geometry, with properties calculated at the SCAN level.

Values from the calculation:
E_form	1906	meV/atom
symmetry	No. 221
raw total energy	-21.77	eV per atom
M_tot	6.2	μB per formula unit

Structure (POSCAR):
```
NaCaRu3
1.0
4.5592 0.0000 0.0000
0.0000 4.5592 0.0000
0.0000 0.0000 4.5592
Na Ca Ru
1 1 3
direct
0.0000 0.0000 0.0000
0.5000 0.5000 0.5000
0.0000 0.0000 0.5000
0.0000 0.5000 0.0000
0.5000 0.0000 0.0000
```



Record 10
Below is Ru2PtI at its PBEsol-relaxed geometry, with properties calculated at the SCAN level.

Values from the calculation:
symmetry	No. 225
raw total energy	-43.34	eV per atom
M_tot	2.5	μB per formula unit
uncorrected formation energy	804	meV/atom

Structure (POSCAR):
```
Ru2PtI
1.0
0.0000 3.1673 3.1673
3.1673 0.0000 3.1673
3.1673 3.1673 0.0000
Ru Pt I
2 1 1
direct
0.2500 0.2500 0.2500
0.7500 0.7500 0.7500
0.0000 0.0000 0.0000
0.5000 0.5000 0.5000
```



Record 11
Below is ScRe2Ag at its PBEsol-relaxed geometry, with properties calculated at the SCAN level.

Values from the calculation:
E_form	652	meV/atom
symmetry	No. 123
raw total energy	-46.30	eV per atom
M_tot	0.0	μB per formula unit
E above lowest polymorph	0.336	eV per atom

Structure (POSCAR):
```
ScRe2Ag
1.0
3.4191 0.0000 0.0000
0.0000 3.4191 0.0000
0.0000 0.0000 5.5759
Sc Re Ag
1 2 1
direct
0.0000 0.0000 0.0000
0.5000 0.5000 0.2271
0.5000 0.5000 0.7729
0.0000 0.0000 0.5000
```



Record 12
Below is Zn24Rh5 at its PBEsol-relaxed geometry, with properties calculated at the SCAN level.

Values from the calculation:
E_form	-190	meV/atom
symmetry	No. 217
raw total energy	-17.20	eV per atom
M_tot	0.0	μB per formula unit

Structure (POSCAR):
```
Zn24Rh5
1.0
-4.5878 4.5878 4.5878
4.5878 -4.5878 4.5878
4.5878 4.5878 -4.5878
Zn Rh
24 5
direct
0.0000 0.3174 0.6044
0.0000 0.6044 0.3174
0.0000 0.6332 0.8125
0.0000 0.8125 0.6332
0.1794 0.3668 0.3668
0.1875 0.1875 0.8206
0.1875 0.8206 0.1875
0.2869 0.6826 0.6826
0.3174 0.0000 0.6044
0.3174 0.6044 0.0000
0.3668 0.1794 0.3668
0.3668 0.3668 0.1794
0.3956 0.3956 0.7131
0.3956 0.7131 0.3956
0.6044 0.0000 0.3174
0.6044 0.3174 0.0000
0.6332 0.0000 0.8125
0.6332 0.8125 0.0000
0.6826 0.2869 0.6826
0.6826 0.6826 0.2869
0.7131 0.3956 0.3956
0.8125 0.0000 0.6332
0.8125 0.6332 0.0000
0.8206 0.1875 0.1875
0.0000 0.0000 0.0000
0.0000 0.0000 0.3814
0.0000 0.3814 0.0000
0.3814 0.0000 0.0000
0.6186 0.6186 0.6186
```



Record 13
Below is AsIr2W at its PBEsol-relaxed geometry, with properties calculated at the SCAN level.

Values from the calculation:
E_form	90	meV/atom
symmetry	No. 12
raw total energy	-57.93	eV per atom
M_tot	0.0	μB per formula unit

Structure (POSCAR):
```
AsIr2W
1.0
4.6255 -1.3963 0.0000
4.6255 1.3963 0.0000
-0.2641 0.0000 4.5875
As Ir W
1 2 1
direct
0.0000 0.0000 0.0000
0.2338 0.2338 0.7411
0.7662 0.7662 0.2589
0.5000 0.5000 0.5000
```



Record 14
Below is Cu2NiOs at its PBEsol-relaxed geometry, with properties calculated at the SCAN level.

Values from the calculation:
E_form	363	meV/atom
symmetry	No. 119
raw total energy	-29.25	eV per atom
M_tot	0.0	μB per formula unit
E above lowest polymorph	0.191	eV per atom

Structure (POSCAR):
```
Cu2NiOs
1.0
-1.8282 1.8282 3.5269
1.8282 -1.8282 3.5269
1.8282 1.8282 -3.5269
Cu Ni Os
2 1 1
direct
0.0000 0.0000 0.0000
0.7500 0.2500 0.5000
0.5000 0.5000 0.0000
0.2500 0.7500 0.5000
```



Record 15
Below is LaGaC3 at its PBEsol-relaxed geometry, with properties calculated at the SCAN level.

Values from the calculation:
E_form	1412	meV/atom
symmetry	No. 221
raw total energy	-16.54	eV per atom
M_tot	0.0	μB per formula unit

Structure (POSCAR):
```
LaGaC3
1.0
4.0376 0.0000 0.0000
0.0000 4.0376 0.0000
0.0000 0.0000 4.0376
La Ga C
1 1 3
direct
0.0000 0.0000 0.0000
0.5000 0.5000 0.5000
0.0000 0.5000 0.5000
0.5000 0.0000 0.5000
0.5000 0.5000 0.0000
```



Record 16
Below is BaLi2Mg at its PBEsol-relaxed geometry, with properties calculated at the SCAN level.

Values from the calculation:
E_form	24	meV/atom
symmetry	No. 99
raw total energy	-12.30	eV per atom
M_tot	0.3	μB per formula unit

Structure (POSCAR):
```
BaLi2Mg
1.0
3.7799 0.0000 0.0000
0.0000 3.7799 0.0000
0.0000 0.0000 8.2256
Ba Li Mg
1 2 1
direct
0.0000 0.0000 0.0000
0.0000 0.0000 0.5026
0.5000 0.5000 0.3229
0.5000 0.5000 0.6894
```



Record 17
Below is ZnAg2Te at its PBEsol-relaxed geometry, with properties calculated at the SCAN level.

Values from the calculation:
symmetry	No. 10
raw total energy	-28.31	eV per atom
M_tot	0.0	μB per formula unit
uncorrected formation energy	66	meV/atom
E above lowest polymorph	0.000	eV per atom

Structure (POSCAR):
```
ZnAg2Te
1.0
2.9423 0.0000 0.0000
0.0000 3.8661 0.0000
-0.0108 0.0000 6.9289
Zn Ag Te
1 2 1
direct
0.0000 0.0000 0.0000
0.4996 0.5000 0.1939
0.5004 0.5000 0.8061
0.5000 0.0000 0.5000
```



Record 18
Below is CrP at its PBEsol-relaxed geometry, with properties calculated at the SCAN level.

Values from the calculation:
E_form	-497	meV/atom
symmetry	No. 187
raw total energy	-14.89	eV per atom
M_tot	0.0	μB per formula unit

Structure (POSCAR):
```
CrP
1.0
3.0326 0.0000 0.0000
-1.5163 2.6263 0.0000
0.0000 0.0000 2.9753
Cr P
1 1
direct
0.0000 0.0000 0.0000
0.3333 0.6667 0.5000
```



Record 19
Below is HfSeBr2N at its PBEsol-relaxed geometry, with properties calculated at the SCAN level.

Values from the calculation:
symmetry	No. 123
raw total energy	-26.21	eV per atom
M_tot	3.0	μB per formula unit
uncorrected formation energy	-14	meV/atom
E above lowest polymorph	0.000	eV per atom

Structure (POSCAR):
```
HfSeBr2N
1.0
5.2676 0.0000 0.0000
0.0000 5.2676 0.0000
0.0000 0.0000 5.0328
Hf Se Br N
1 1 2 1
direct
0.0000 0.0000 0.0000
0.0000 0.0000 0.5000
0.0000 0.5000 0.0000
0.5000 0.0000 0.0000
0.5000 0.5000 0.5000
```



Record 20
Below is FeSi2N at its PBEsol-relaxed geometry, with properties calculated at the SCAN level.

Values from the calculation:
symmetry	No. 122
raw total energy	-11.88	eV per atom
M_tot	1.0	μB per formula unit
uncorrected formation energy	-12	meV/atom

Structure (POSCAR):
```
FeSi2N
1.0
-2.5865 2.5865 3.4500
2.5865 -2.5865 3.4500
2.5865 2.5865 -3.4500
Fe Si N
2 4 2
direct
0.0000 0.0000 0.0000
0.7500 0.2500 0.5000
0.1874 0.6250 0.0624
0.3750 0.4374 0.5624
0.5626 0.1250 0.9376
0.8750 0.8126 0.4376
0.2500 0.7500 0.5000
0.5000 0.5000 0.0000
```



Record 21
Below is Y2GeO5 at its PBEsol-relaxed geometry, with properties calculated at the SCAN level.

Values from the calculation:
symmetry	No. 15
raw total energy	-16.45	eV per atom
M_tot	0.0	μB per formula unit
uncorrected formation energy	-3210	meV/atom
E above lowest polymorph	0.004	eV per atom

Structure (POSCAR):
```
Y2GeO5
1.0
7.4277 -3.4029 0.0000
7.4277 3.4029 0.0000
-5.4643 0.0000 8.8091
Y Ge O
8 4 20
direct
0.0087 0.2661 0.8371
0.2080 0.7226 0.5366
0.2661 0.0087 0.3371
0.2774 0.7920 0.9634
0.7226 0.2080 0.0366
0.7339 0.9913 0.6629
0.7920 0.2774 0.4634
0.9913 0.7339 0.1629
0.2205 0.4088 0.6916
0.4088 0.2205 0.1916
0.5912 0.7795 0.8084
0.7795 0.5912 0.3084
0.0403 0.3501 0.6751
0.0798 0.8871 0.1028
0.0858 0.6824 0.6778
0.1129 0.9202 0.3972
0.2205 0.3703 0.0519
0.3176 0.9142 0.8222
0.3501 0.0403 0.1751
0.3703 0.2205 0.5519
0.4131 0.4201 0.8672
0.4201 0.4131 0.3672
0.5799 0.5869 0.6328
0.5869 0.5799 0.1328
0.6297 0.7795 0.4481
0.6499 0.9597 0.8249
0.6824 0.0858 0.1778
0.7795 0.6297 0.9481
0.8871 0.0798 0.6028
0.9142 0.3176 0.3222
0.9202 0.1129 0.8972
0.9597 0.6499 0.3249
```



Record 22
Below is RbNb4Cl11 at its PBEsol-relaxed geometry, with properties calculated at the SCAN level.

Values from the calculation:
symmetry	No. 51
raw total energy	-16.61	eV per atom
M_tot	0.0	μB per formula unit
uncorrected formation energy	-1550	meV/atom

Structure (POSCAR):
```
RbNb4Cl11
1.0
16.0412 0.0000 0.0000
0.0000 6.8893 0.0000
0.0000 0.0000 6.6821
Rb Nb Cl
2 8 22
direct
0.2500 0.0000 0.0068
0.7500 0.0000 0.9932
0.0000 0.2840 0.5000
0.0000 0.7160 0.5000
0.1423 0.5000 0.6215
0.3577 0.5000 0.6215
0.5000 0.2840 0.5000
0.5000 0.7160 0.5000
0.6423 0.5000 0.3785
0.8577 0.5000 0.3785
0.0791 0.2458 0.8176
0.0791 0.7542 0.8176
0.0843 0.0000 0.3609
0.0850 0.5000 0.2849
0.2500 0.2652 0.4813
0.2500 0.5000 0.9093
0.2500 0.7348 0.4813
0.4150 0.5000 0.2849
0.4157 0.0000 0.3609
0.4209 0.2458 0.8176
0.4209 0.7542 0.8176
0.5791 0.2458 0.1824
0.5791 0.7542 0.1824
0.5843 0.0000 0.6391
0.5850 0.5000 0.7151
0.7500 0.2652 0.5187
0.7500 0.5000 0.0907
0.7500 0.7348 0.5187
0.9150 0.5000 0.7151
0.9157 0.0000 0.6391
0.9209 0.2458 0.1824
0.9209 0.7542 0.1824
```



Record 23
Below is YAsOs at its PBEsol-relaxed geometry, with properties calculated at the SCAN level.

Values from the calculation:
E_form	-125	meV/atom
symmetry	No. 216
raw total energy	-40.10	eV per atom
M_tot	1.5	μB per formula unit

Structure (POSCAR):
```
YAsOs
1.0
0.0000 3.0966 3.0966
3.0966 0.0000 3.0966
3.0966 3.0966 0.0000
Y As Os
1 1 1
direct
0.0000 0.0000 0.0000
0.2500 0.2500 0.2500
0.5000 0.5000 0.5000
```



Record 24
Below is NiOs3 at its PBEsol-relaxed geometry, with properties calculated at the SCAN level.

Values from the calculation:
E_form	163	meV/atom
symmetry	No. 44
raw total energy	-57.79	eV per atom
M_tot	0.0	μB per formula unit

Structure (POSCAR):
```
NiOs3
1.0
-1.3610 4.2277 2.3027
1.3610 -4.2277 2.3027
1.3610 4.2277 -2.3027
Ni Os
1 3
direct
0.0000 0.0000 0.0000
0.0861 0.3369 0.7492
0.4939 0.9939 0.5000
0.5877 0.3369 0.2508
```



Record 25
Below is Ag2PtBr at its PBEsol-relaxed geometry, with properties calculated at the SCAN level.

Values from the calculation:
symmetry	No. 65
raw total energy	-37.79	eV per atom
M_tot	0.0	μB per formula unit
uncorrected formation energy	302	meV/atom
E above lowest polymorph	0.106	eV per atom

Structure (POSCAR):
```
Ag2PtBr
1.0
2.7510 -4.0887 0.0000
2.7510 4.0887 0.0000
0.0000 0.0000 3.1360
Ag Pt Br
2 1 1
direct
0.0000 0.5000 0.0000
0.5000 0.0000 0.0000
0.0000 0.0000 0.5000
0.5000 0.5000 0.5000
```